Entry 1:
Computed, not measured: a relaxed Pr8Zn3GaBr4 crystal at the GGA-PBE level of DFT.

Properties
The raw formation energy comes out at -12.2 eV/f.u. The calculation puts the theoretical density at 6.10 Mg/m³. As for the space group: R-3m (166).

a = 8.3726 Å, b = 9.0762 Å, c = 8.3726 Å
α = 117.46°, β = 120.00°, γ = 90.00°
Element x y z (fractional)
1 Pr 0.2450 0.7342 0.9892
2 Pr 0.2450 0.7342 0.4901
3 Pr 0.2550 0.2651 0.5101
4 Pr 0.7441 0.7342 0.9892
5 Pr 0.2559 0.2658 0.0108
6 Pr 0.7450 0.7349 0.4899
7 Pr 0.7550 0.2658 0.5099
8 Pr 0.7550 0.2658 0.0108
9 Zn 0.5000 0.5000 0.0000
10 Zn 0.5000 0.5000 0.5000
11 Zn 0.0000 0.5000 0.5000
12 Ga 0.0000 0.5000 0.0000
13 Br 0.5000 0.0000 0.0000
14 Br 0.5000 0.0000 0.5000
15 Br 0.0000 0.0000 0.0000
16 Br 0.0000 0.0000 0.5000

Entry 2:
Computed, not measured: a relaxed Pr8ZnGa3Br4 crystal at the GGA-PBE level of DFT.

Properties
The raw formation energy comes out at -13.7 eV/f.u. The calculation puts the theoretical density at 6.07 Mg/m³. As for the space group: C2/m (12).

a = 8.5973 Å, b = 8.8699 Å, c = 8.6035 Å
α = 119.06°, β = 119.98°, γ = 90.00°
Element x y z (fractional)
1 Pr 0.2450 0.7325 0.9875
2 Pr 0.2450 0.7325 0.4900
3 Pr 0.2569 0.2707 0.5139
4 Pr 0.7425 0.7325 0.9875
5 Pr 0.2575 0.2675 0.0125
6 Pr 0.7431 0.7293 0.4861
7 Pr 0.7550 0.2675 0.5100
8 Pr 0.7550 0.2675 0.0125
9 Zn 0.0000 0.5000 0.0000
10 Ga 0.5000 0.5000 0.0000
11 Ga 0.5000 0.5000 0.5000
12 Ga 0.0000 0.5000 0.5000
13 Br 0.5000 0.0000 0.0000
14 Br 0.5000 0.0000 0.5000
15 Br 0.0000 0.0000 0.0000
16 Br 0.0000 0.0000 0.5000

Entry 3:
Computed, not measured: a relaxed GaPt2Br crystal at the GGA-PBE level of DFT.

Properties
Its offset from the most stable computed form is 0.000 eV/atom. The raw formation energy comes out at 0.5 eV/f.u. The calculation puts the theoretical density at 11.57 Mg/m³. As for the space group: I-42d (122).

a = 4.2709 Å, b = 4.2709 Å, c = 9.0122 Å
α = 76.29°, β = 76.29°, γ = 90.00°
Element x y z (fractional)
1 Ga 0.5000 0.5000 0.0000
2 Ga 0.2500 0.7500 0.5000
3 Br 0.0000 0.0000 0.0000
4 Br 0.7500 0.2500 0.5000
5 Pt 0.5974 0.1250 0.2500
6 Pt 0.1526 0.6250 0.2500
7 Pt 0.3750 0.4026 0.7500
8 Pt 0.8750 0.8474 0.7500

Entry 4:
Computed, not measured: a relaxed GaPtBr2 crystal at the GGA-PBE level of DFT.

Properties
Its offset from the most stable computed form is 0.240 eV/atom. The raw formation energy comes out at 1.5 eV/f.u. The calculation puts the theoretical density at 7.94 Mg/m³. As for the space group: Fm-3m (225).

a = 5.0070 Å, b = 5.0070 Å, c = 5.0070 Å
α = 60.00°, β = 60.00°, γ = 60.00°
Site moments in Bohr magnetons follow the coordinates.
Element x y z (fractional)
1 Ga 0.0000 0.0000 0.0000  0.05
2 Br 0.2500 0.2500 0.2500  0.12
3 Br 0.7500 0.7500 0.7500  0.12
4 Pt 0.5000 0.5000 0.5000  0.66

Entry 5:
Computed, not measured: a relaxed GaPtBr2 crystal at the GGA-PBE level of DFT.

Properties
Its offset from the most stable computed form is 0.004 eV/atom. The raw formation energy comes out at 0.6 eV/f.u. The calculation puts the theoretical density at 6.69 Mg/m³. As for the space group: R-3m (166).

a = 9.1341 Å, b = 9.1341 Å, c = 9.1341 Å
α = 23.37°, β = 23.37°, γ = 23.37°
Element x y z (fractional)
1 Ga 0.5000 0.5000 0.5000
2 Br 0.9092 0.9092 0.9092
3 Br 0.0908 0.0908 0.0908
4 Pt 0.0000 0.0000 0.0000

Entry 6:
Computed, not measured: a relaxed GaPtBr6 crystal at the GGA-PBE level of DFT.

Properties
The raw formation energy comes out at -3.4 eV/f.u. The calculation puts the theoretical density at 4.24 Mg/m³. As for the space group: C2/m (12).

a = 10.1896 Å, b = 6.9892 Å, c = 6.9892 Å
α = 64.27°, β = 113.85°, γ = 66.15°
Site moments in Bohr magnetons follow the coordinates.
Element x y z (fractional)
1 Ga 0.0000 0.0000 0.0000  -0.01
2 Pt 0.5000 0.5000 0.5000  0.49
3 Br 0.8023 0.9203 0.0797  0.17
4 Br 0.2713 0.7450 0.5432  0.01
5 Br 0.1977 0.0797 0.9203  0.17
6 Br 0.7287 0.5432 0.7450  0.01
7 Br 0.7287 0.2550 0.4568  0.01
8 Br 0.2713 0.4568 0.2550  0.01

Entry 7:
Computed, not measured: a relaxed GaPt3Br crystal at the GGA-PBE level of DFT.

Properties
Its offset from the most stable computed form is 0.000 eV/atom. The raw formation energy comes out at 3.6 eV/f.u. The calculation puts the theoretical density at 11.61 Mg/m³. As for the space group: Pm-3m (221).

a = 4.7191 Å, b = 4.7191 Å, c = 4.7191 Å
α = 90.00°, β = 90.00°, γ = 90.00°
Element x y z (fractional)
1 Ga 0.0000 0.0000 0.0000
2 Br 0.5000 0.5000 0.5000
3 Pt 0.0000 0.5000 0.0000
4 Pt 0.0000 0.0000 0.5000
5 Pt 0.5000 0.0000 0.0000

Entry 8:
Computed, not measured: a relaxed GaPt2Br crystal at the GGA-PBE level of DFT.

Properties
Its offset from the most stable computed form is 0.113 eV/atom. The raw formation energy comes out at 0.9 eV/f.u. The calculation puts the theoretical density at 13.07 Mg/m³. As for the space group: Fm-3m (225).

a = 4.5942 Å, b = 4.5942 Å, c = 4.5942 Å
α = 60.00°, β = 60.00°, γ = 60.00°
Element x y z (fractional)
1 Ga 0.0000 0.0000 0.0000
2 Br 0.5000 0.5000 0.5000
3 Pt 0.2500 0.2500 0.2500
4 Pt 0.7500 0.7500 0.7500

Entry 9:
Computed, not measured: a relaxed Ga2PtBr crystal at the GGA-PBE level of DFT.

Properties
Its offset from the most stable computed form is 0.000 eV/atom. The raw formation energy comes out at -1.2 eV/f.u. The calculation puts the theoretical density at 6.00 Mg/m³. As for the space group: I-42d (122).

a = 6.1398 Å, b = 6.1398 Å, c = 7.4762 Å
α = 65.76°, β = 65.76°, γ = 90.00°
Element x y z (fractional)
1 Ga 0.6982 0.1250 0.2500
2 Ga 0.0518 0.6250 0.2500
3 Ga 0.3750 0.3018 0.7500
4 Ga 0.8750 0.9482 0.7500
5 Br 0.5000 0.5000 0.0000
6 Br 0.2500 0.7500 0.5000
7 Pt 0.0000 0.0000 0.0000
8 Pt 0.7500 0.2500 0.5000

Entry 10:
Computed, not measured: a relaxed Ga2PtBr crystal at the GGA-PBE level of DFT.

Properties
Its offset from the most stable computed form is 0.449 eV/atom. The raw formation energy comes out at 0.6 eV/f.u. The calculation puts the theoretical density at 8.50 Mg/m³. As for the space group: Fm-3m (225).

a = 4.8552 Å, b = 4.8552 Å, c = 4.8552 Å
α = 60.00°, β = 60.00°, γ = 60.00°
Element x y z (fractional)
1 Ga 0.2500 0.2500 0.2500
2 Ga 0.7500 0.7500 0.7500
3 Br 0.0000 0.0000 0.0000
4 Pt 0.5000 0.5000 0.5000

Entry 11:
Computed, not measured: a relaxed GaPtBr2 crystal at the GGA-PBE level of DFT.

Properties
Its offset from the most stable computed form is 0.000 eV/atom. The raw formation energy comes out at 0.6 eV/f.u. The calculation puts the theoretical density at 5.52 Mg/m³. As for the space group: I-42d (122).

a = 5.8582 Å, b = 5.8582 Å, c = 8.5223 Å
α = 69.90°, β = 69.90°, γ = 90.00°
Site moments in Bohr magnetons follow the coordinates.
Element x y z (fractional)
1 Ga 0.5000 0.5000 0.0000  0.01
2 Ga 0.2500 0.7500 0.5000  0.01
3 Br 0.7006 0.1250 0.2500  0.07
4 Br 0.0494 0.6250 0.2500  0.07
5 Br 0.3750 0.2994 0.7500  0.07
6 Br 0.8750 0.9506 0.7500  0.07
7 Pt 0.0000 0.0000 0.0000  0.39
8 Pt 0.7500 0.2500 0.5000  0.39

Entry 12:
Computed, not measured: a relaxed Rb2GaPtBr6 crystal at the GGA-PBE level of DFT.

Properties
The raw formation energy comes out at -9.3 eV/f.u. The calculation puts the theoretical density at 4.81 Mg/m³. As for the space group: I4/mmm (139).

a = 7.6411 Å, b = 7.6411 Å, c = 7.6430 Å
α = 60.01°, β = 60.01°, γ = 90.00°
Element x y z (fractional)
1 Ga 0.5000 0.5000 0.0000
2 Br 0.2475 0.2475 0.5050
3 Br 0.7525 0.7525 0.4950
4 Br 0.2391 0.2391 0.0000
5 Br 0.7609 0.7609 0.0000
6 Br 0.7609 0.2391 0.0000
7 Br 0.2391 0.7609 0.0000
8 Rb 0.7500 0.2500 0.5000
9 Rb 0.2500 0.7500 0.5000
10 Pt 0.0000 0.0000 0.0000

| no. | E (eV per atom) | magnetic moment (μB/f.u.) |
| --- | --- | --- |
| 1 | -3.9976 | 0.00 |
| 2 | -4.3124 | 0.00 |
| 3 | -4.0723 | 0.00 |
| 4 | -2.7231 | 1.00 |
| 5 | -2.9593 | 0.00 |
| 6 | -2.8171 | 1.02 |
| 7 | -3.8528 | 0.00 |
| 8 | -3.9592 | 0.00 |
| 9 | -3.7447 | 0.00 |
| 10 | -3.2958 | 0.00 |
| 11 | -2.9634 | 0.63 |
| 12 | -3.0358 | 0.00 |